1.
Entry from Alexandria: a geometry-optimized PmNd2Pt9 structure (PBE).

Lattice parameters (Å, degrees): 9.479 9.479 9.479 33.53 33.53 33.53
Positions (direct):
1 Pm 0.000 0.000 0.000
2 Nd 0.139 0.139 0.139
3 Nd 0.861 0.861 0.861
4 Pt 0.081 0.586 0.586
5 Pt 0.333 0.333 0.333
6 Pt 0.414 0.414 0.919
7 Pt 0.414 0.919 0.414
8 Pt 0.500 0.500 0.500
9 Pt 0.586 0.081 0.586
10 Pt 0.586 0.586 0.081
11 Pt 0.667 0.667 0.667
12 Pt 0.919 0.414 0.414

Computed properties:
The total moment is 0.0 μB/f.u. The uncorrected energy is -0.488 Ry/atom. The calculation puts the formation energy at -11.0 eV per formula unit.

=====

2.
Entry from Alexandria: a geometry-optimized CaTc2Cl4 structure (PBE).

Lattice parameters (Å, degrees): 5.631 5.631 12.382 90.00 90.00 90.00
Positions (direct):
1 Ca 0.000 0.000 0.000
2 Ca 0.500 0.500 0.500
3 Tc 0.000 0.000 0.418
4 Tc 0.000 0.000 0.582
5 Tc 0.500 0.500 0.082
6 Tc 0.500 0.500 0.918
7 Cl 0.000 0.000 0.215
8 Cl 0.000 0.000 0.785
9 Cl 0.000 0.500 0.000
10 Cl 0.000 0.500 0.500
11 Cl 0.500 0.000 0.000
12 Cl 0.500 0.000 0.500
13 Cl 0.500 0.500 0.285
14 Cl 0.500 0.500 0.715

Computed properties:
The formation energy without anion corrections is -0.434 eV per atom. The total moment is 2.3 μB/f.u. The uncorrected energy is -0.348 Ry/atom.

=====

3.
Entry from Alexandria: a geometry-optimized La3Pr12Ho structure (PBE).

Lattice parameters (Å, degrees): 5.246 5.246 20.961 90.00 90.00 90.00
Positions (direct):
1 La 0.000 0.000 0.000
2 La 0.000 0.000 0.251
3 La 0.000 0.000 0.749
4 Pr 0.000 0.500 0.126
5 Pr 0.000 0.500 0.378
6 Pr 0.000 0.500 0.622
7 Pr 0.000 0.500 0.874
8 Pr 0.500 0.000 0.126
9 Pr 0.500 0.000 0.378
10 Pr 0.500 0.000 0.622
11 Pr 0.500 0.000 0.874
12 Pr 0.500 0.500 0.000
13 Pr 0.500 0.500 0.252
14 Pr 0.500 0.500 0.500
15 Pr 0.500 0.500 0.748
16 Ho 0.000 0.000 0.500

Computed properties:
The total moment is 0.0 μB/f.u. The uncorrected energy is -0.352 Ry/atom. The calculation puts the formation energy at 0.2 eV per formula unit.

=====

4.
Entry from Alexandria: a geometry-optimized PmReAgO6 structure (PBE).

Lattice parameters (Å, degrees): 4.790 5.394 5.609 113.40 98.54 95.50
Positions (direct):
1 Pm 0.000 0.000 0.000
2 Re 0.902 0.640 0.339
3 Ag 0.432 0.332 0.687
4 O 0.124 0.370 0.397
5 O 0.131 0.648 0.100
6 O 0.169 0.940 0.626
7 O 0.662 0.312 0.055
8 O 0.693 0.868 0.257
9 O 0.713 0.632 0.614

Computed properties:
The formation energy without anion corrections is -1.632 eV per atom. The total moment is 0.0 μB/f.u. The uncorrected energy is -0.527 Ry/atom.